# As5Pb SCAN PBEsol geometry
# Total moment: 0.000 μB/f.u.
# SG: No. 189
# Formation energy from the elements: 38 kJ per mole of atoms
data_As5Pb
_cell_length_a 5.637
_cell_length_b 5.637
_cell_length_c 4.523
_cell_angle_alpha 90.00
_cell_angle_beta 90.00
_cell_angle_gamma 120.00
_symmetry_space_group_name_H-M 'P 1'
_symmetry_Int_Tables_number 1
_symmetry_space_group_name_Hall 'P 1'
loop_
_atom_site_label
_atom_site_fract_x
_atom_site_fract_y
_atom_site_fract_z
_atom_site_occupancy
As1 0.000 0.591 0.000 1
As2 0.333 0.667 0.500 1
As3 0.409 0.409 0.000 1
As4 0.591 0.000 0.000 1
As5 0.667 0.333 0.500 1
Pb1 0.000 0.000 0.500 1

---

# Na2NdPCO7 SCAN PBEsol geometry
# Total moment: 0.001 μB/f.u.
# SG: No. 11
# E_form (uncorrected): -2.55 eV/atom
data_Na2NdPCO7
_cell_length_a 5.113
_cell_length_b 7.042
_cell_length_c 9.420
_cell_angle_alpha 90.00
_cell_angle_beta 90.09
_cell_angle_gamma 90.00
_symmetry_space_group_name_H-M 'P 1'
_symmetry_Int_Tables_number 1
_symmetry_space_group_name_Hall 'P 1'
loop_
_atom_site_label
_atom_site_fract_x
_atom_site_fract_y
_atom_site_fract_z
_atom_site_occupancy
Na1 0.248 0.010 0.199 1
Na2 0.248 0.490 0.199 1
Na3 0.752 0.510 0.801 1
Na4 0.752 0.990 0.801 1
Nd1 0.284 0.250 0.601 1
Nd2 0.716 0.750 0.399 1
P1 0.213 0.750 0.594 1
P2 0.787 0.250 0.406 1
C1 0.260 0.250 0.904 1
C2 0.740 0.750 0.096 1
O1 0.055 0.250 0.818 1
O2 0.078 0.250 0.363 1
O3 0.214 0.750 0.428 1
O4 0.237 0.250 0.037 1
O5 0.362 0.572 0.645 1
O6 0.362 0.928 0.645 1
O7 0.485 0.250 0.838 1
O8 0.515 0.750 0.162 1
O9 0.638 0.072 0.355 1
O10 0.638 0.428 0.355 1
O11 0.763 0.750 0.963 1
O12 0.786 0.250 0.572 1
O13 0.922 0.750 0.637 1
O14 0.945 0.750 0.182 1

---

# Ta2TlZn SCAN PBEsol geometry
# Total moment: 0.000 μB/f.u.
# SG: No. 47
# Formation energy from the elements: 26 kJ per mole of atoms
data_Ta2TlZn
_cell_length_a 2.869
_cell_length_b 4.310
_cell_length_c 5.696
_cell_angle_alpha 90.00
_cell_angle_beta 90.00
_cell_angle_gamma 90.00
_symmetry_space_group_name_H-M 'P 1'
_symmetry_Int_Tables_number 1
_symmetry_space_group_name_Hall 'P 1'
loop_
_atom_site_label
_atom_site_fract_x
_atom_site_fract_y
_atom_site_fract_z
_atom_site_occupancy
Ta1 0.000 0.000 0.238 1
Ta2 0.000 0.000 0.762 1
Tl1 0.500 0.500 0.500 1
Zn1 0.500 0.500 0.000 1

---

# RbAgCl3 SCAN PBEsol geometry
# Total moment: 0.000 μB/f.u.
# SG: No. 221
# E_form (uncorrected): -1.23 eV/atom
data_RbAgCl3
_cell_length_a 5.020
_cell_length_b 5.020
_cell_length_c 5.020
_cell_angle_alpha 90.00
_cell_angle_beta 90.00
_cell_angle_gamma 90.00
_symmetry_space_group_name_H-M 'P 1'
_symmetry_Int_Tables_number 1
_symmetry_space_group_name_Hall 'P 1'
loop_
_atom_site_label
_atom_site_fract_x
_atom_site_fract_y
_atom_site_fract_z
_atom_site_occupancy
Rb1 0.000 0.000 0.000 1
Ag1 0.500 0.500 0.500 1
Cl1 0.000 0.500 0.500 1
Cl2 0.500 0.000 0.500 1
Cl3 0.500 0.500 0.000 1

---

# CrPSCl2 SCAN PBEsol geometry
# Total moment: 3.921 μB/f.u.
# SG: No. 123
# E_form (uncorrected): 0.56 eV/atom
data_CrPSCl2
_cell_length_a 4.578
_cell_length_b 4.578
_cell_length_c 4.804
_cell_angle_alpha 90.00
_cell_angle_beta 90.00
_cell_angle_gamma 90.00
_symmetry_space_group_name_H-M 'P 1'
_symmetry_Int_Tables_number 1
_symmetry_space_group_name_Hall 'P 1'
loop_
_atom_site_label
_atom_site_fract_x
_atom_site_fract_y
_atom_site_fract_z
_atom_site_occupancy
Cr1 0.000 0.000 0.000 1
P1 0.500 0.500 0.000 1
S1 0.500 0.500 0.500 1
Cl1 0.000 0.500 0.500 1
Cl2 0.500 0.000 0.500 1

---

# LiScP SCAN PBEsol geometry
# Total moment: 0.700 μB/f.u.
# SG: No. 107
# Formation energy from the elements: -66 kJ per mole of atoms
data_LiScP
_cell_length_a 4.541
_cell_length_b 4.541
_cell_length_c 4.541
_cell_angle_alpha 133.59
_cell_angle_beta 133.59
_cell_angle_gamma 67.73
_symmetry_space_group_name_H-M 'P 1'
_symmetry_Int_Tables_number 1
_symmetry_space_group_name_Hall 'P 1'
loop_
_atom_site_label
_atom_site_fract_x
_atom_site_fract_y
_atom_site_fract_z
_atom_site_occupancy
Li1 0.000 0.000 0.000 1
Sc1 0.668 0.668 0.000 1
P1 0.311 0.311 0.000 1

---

# CaMnCo SCAN PBEsol geometry
# Total moment: 1.178 μB/f.u.
# SG: No. 187
# Formation energy from the elements: 44 kJ per mole of atoms
# Energy above the lowest structure with this stoichiometry: 0.257 eV per atom
data_CaMnCo
_cell_length_a 3.649
_cell_length_b 3.649
_cell_length_c 4.597
_cell_angle_alpha 90.00
_cell_angle_beta 90.00
_cell_angle_gamma 120.00
_symmetry_space_group_name_H-M 'P 1'
_symmetry_Int_Tables_number 1
_symmetry_space_group_name_Hall 'P 1'
loop_
_atom_site_label
_atom_site_fract_x
_atom_site_fract_y
_atom_site_fract_z
_atom_site_occupancy
Ca1 0.000 0.000 0.000 1
Mn1 0.667 0.333 0.500 1
Co1 0.333 0.667 0.500 1

---

# P3HIr SCAN PBEsol geometry
# Total moment: 0.000 μB/f.u.
# SG: No. 221
data_P3HIr
_cell_length_a 3.859
_cell_length_b 3.859
_cell_length_c 3.859
_cell_angle_alpha 90.00
_cell_angle_beta 90.00
_cell_angle_gamma 90.00
_symmetry_space_group_name_H-M 'P 1'
_symmetry_Int_Tables_number 1
_symmetry_space_group_name_Hall 'P 1'
loop_
_atom_site_label
_atom_site_fract_x
_atom_site_fract_y
_atom_site_fract_z
_atom_site_occupancy
P1 0.000 0.000 0.500 1
P2 0.000 0.500 0.000 1
P3 0.500 0.000 0.000 1
H1 0.000 0.000 0.000 1
Ir1 0.500 0.500 0.500 1

---

# Y3FeBr SCAN PBEsol geometry
# Total moment: 0.000 μB/f.u.
# SG: No. 221
# E_form (uncorrected): -0.02 eV/atom
data_Y3FeBr
_cell_length_a 5.146
_cell_length_b 5.146
_cell_length_c 5.146
_cell_angle_alpha 90.00
_cell_angle_beta 90.00
_cell_angle_gamma 90.00
_symmetry_space_group_name_H-M 'P 1'
_symmetry_Int_Tables_number 1
_symmetry_space_group_name_Hall 'P 1'
loop_
_atom_site_label
_atom_site_fract_x
_atom_site_fract_y
_atom_site_fract_z
_atom_site_occupancy
Y1 0.000 0.000 0.500 1
Y2 0.000 0.500 0.000 1
Y3 0.500 0.000 0.000 1
Fe1 0.000 0.000 0.000 1
Br1 0.500 0.500 0.500 1

---

# CrGa2PtAu SCAN PBEsol geometry
# Total moment: 3.355 μB/f.u.
# SG: No. 123
# Formation energy from the elements: 86 kJ per mole of atoms
data_CrGa2PtAu
_cell_length_a 4.517
_cell_length_b 4.517
_cell_length_c 4.727
_cell_angle_alpha 90.00
_cell_angle_beta 90.00
_cell_angle_gamma 90.00
_symmetry_space_group_name_H-M 'P 1'
_symmetry_Int_Tables_number 1
_symmetry_space_group_name_Hall 'P 1'
loop_
_atom_site_label
_atom_site_fract_x
_atom_site_fract_y
_atom_site_fract_z
_atom_site_occupancy
Cr1 0.000 0.000 0.000 1
Ga1 0.000 0.500 0.000 1
Ga2 0.500 0.000 0.000 1
Pt1 0.500 0.500 0.500 1
Au1 0.000 0.000 0.500 1

---

# Ca2YP2 SCAN PBEsol geometry
# Total moment: 0.000 μB/f.u.
# SG: No. 139
# Formation energy from the elements: -77 kJ per mole of atoms
data_Ca2YP2
_cell_length_a 6.806
_cell_length_b 6.806
_cell_length_c 6.806
_cell_angle_alpha 143.95
_cell_angle_beta 143.95
_cell_angle_gamma 51.90
_symmetry_space_group_name_H-M 'P 1'
_symmetry_Int_Tables_number 1
_symmetry_space_group_name_Hall 'P 1'
loop_
_atom_site_label
_atom_site_fract_x
_atom_site_fract_y
_atom_site_fract_z
_atom_site_occupancy
Ca1 0.250 0.750 0.500 1
Ca2 0.750 0.250 0.500 1
Y1 0.000 0.000 0.000 1
P1 0.406 0.406 0.000 1
P2 0.594 0.594 0.000 1

---

# Zr2AsOs SCAN PBEsol geometry
# Total moment: 0.001 μB/f.u.
# SG: No. 166
# Formation energy from the elements: -51 kJ per mole of atoms
data_Zr2AsOs
_cell_length_a 7.383
_cell_length_b 7.383
_cell_length_c 7.383
_cell_angle_alpha 27.78
_cell_angle_beta 27.78
_cell_angle_gamma 27.78
_symmetry_space_group_name_H-M 'P 1'
_symmetry_Int_Tables_number 1
_symmetry_space_group_name_Hall 'P 1'
loop_
_atom_site_label
_atom_site_fract_x
_atom_site_fract_y
_atom_site_fract_z
_atom_site_occupancy
Zr1 0.249 0.249 0.249 1
Zr2 0.751 0.751 0.751 1
As1 0.500 0.500 0.500 1
Os1 0.000 0.000 0.000 1

---

Total energy / Ha/atom: -1.0680; -0.4494; -2.0027; -0.6041; -0.3791; -0.3564; -0.5373; -0.7433; -0.8910; -1.3667; -0.5290; -1.4292
D(E_F) / states/eV per cell: 2.56; 0.00; 2.13; 1.15; 2.69; 1.32; 2.60; 2.26; 4.16; 3.36; 2.21; 2.95